# HoGaNi

An optimized crystal structure of HoGaNi (PBE-GGA, the Open Quantum Materials Database).

Geometry as POSCAR:
```
HoGaNi
1.0
0.000 3.213 3.213
3.213 0.000 3.213
3.213 3.213 0.000
Ho Ga Ni
1 1 1
Direct
0.000 0.000 0.000 Ho
0.750 0.750 0.750 Ga
0.250 0.250 0.250 Ni
```

## Properties
Space group: No. 216
VASP energy: -4.18 eV/atom
Total magnetic moment: 0.00 μB/f.u.

***

# Ho6GaNi2

An optimized crystal structure of Ho6GaNi2 (PBE-GGA, the Open Quantum Materials Database).

Geometry as POSCAR:
```
Ho6GaNi2
1.0
-4.585 4.762 4.970
4.585 -4.762 4.970
4.585 4.762 -4.970
Ho Ga Ni
12 2 4
Direct
0.042 0.236 0.806 Ho
0.181 0.285 0.466 Ho
0.181 0.715 0.896 Ho
0.327 0.020 0.693 Ho
0.327 0.633 0.307 Ho
0.431 0.236 0.194 Ho
0.569 0.764 0.806 Ho
0.673 0.367 0.693 Ho
0.673 0.980 0.307 Ho
0.819 0.285 0.104 Ho
0.819 0.715 0.534 Ho
0.958 0.764 0.194 Ho
0.000 0.000 0.000 Ga
0.500 0.500 0.000 Ga
0.122 0.622 0.500 Ni
0.348 0.000 0.348 Ni
0.652 0.000 0.652 Ni
0.878 0.378 0.500 Ni
```

## Properties
Space group: No. 71
VASP energy: -5.00 eV/atom
Total magnetic moment: 0.00 μB/f.u.

***

# Ho4Ga21Ni10

An optimized crystal structure of Ho4Ga21Ni10 (PBE-GGA, the Open Quantum Materials Database).

Geometry as POSCAR:
```
Ho4Ga21Ni10
1.0
10.448 -2.041 0.000
10.448 2.041 0.000
-8.825 0.000 12.655
Ho Ga Ni
4 21 10
Direct
0.119 0.119 0.333 Ho
0.230 0.230 0.823 Ho
0.770 0.770 0.177 Ho
0.881 0.881 0.667 Ho
0.005 0.005 0.091 Ga
0.067 0.067 0.796 Ga
0.118 0.118 0.553 Ga
0.201 0.201 0.003 Ga
0.246 0.246 0.293 Ga
0.297 0.297 0.497 Ga
0.375 0.375 0.806 Ga
0.385 0.385 0.296 Ga
0.398 0.398 0.002 Ga
0.460 0.460 0.631 Ga
0.500 0.500 0.500 Ga
0.540 0.540 0.369 Ga
0.602 0.602 0.998 Ga
0.615 0.615 0.704 Ga
0.625 0.625 0.194 Ga
0.703 0.703 0.503 Ga
0.754 0.754 0.707 Ga
0.799 0.799 0.997 Ga
0.882 0.882 0.447 Ga
0.933 0.933 0.204 Ga
0.995 0.995 0.909 Ga
0.025 0.025 0.606 Ni
0.131 0.131 0.103 Ni
0.251 0.251 0.615 Ni
0.346 0.346 0.111 Ni
0.499 0.499 0.814 Ni
0.501 0.501 0.186 Ni
0.654 0.654 0.889 Ni
0.749 0.749 0.385 Ni
0.869 0.869 0.897 Ni
0.975 0.975 0.394 Ni
```

## Properties
Space group: No. 12
VASP energy: -4.45 eV/atom
Total magnetic moment: 0.00 μB/f.u.

***

# Ho3Ga10Ni

An optimized crystal structure of Ho3Ga10Ni (PBE-GGA, the Open Quantum Materials Database).

Geometry as POSCAR:
```
Ho3Ga10Ni
1.0
4.118 0.000 0.000
0.000 4.221 0.000
0.000 0.000 15.247
Ho Ga Ni
3 10 1
Direct
0.000 0.000 0.000 Ho
0.000 0.500 0.249 Ho
0.000 0.500 0.751 Ho
0.000 0.000 0.414 Ga
0.000 0.000 0.586 Ga
0.500 0.000 0.155 Ga
0.500 0.000 0.312 Ga
0.500 0.000 0.688 Ga
0.500 0.000 0.845 Ga
0.500 0.500 0.080 Ga
0.500 0.500 0.412 Ga
0.500 0.500 0.588 Ga
0.500 0.500 0.920 Ga
0.000 0.500 0.500 Ni
```

## Properties
Space group: No. 47
VASP energy: -4.03 eV/atom
Total magnetic moment: 0.00 μB/f.u.

***

# Ho4Ga21Ni10

An optimized crystal structure of Ho4Ga21Ni10 (PBE-GGA, the Open Quantum Materials Database).

Geometry as POSCAR:
```
Ho4Ga21Ni10
1.0
10.450 -2.044 0.000
10.450 2.044 0.000
-8.852 0.000 12.637
Ho Ga Ni
4 21 10
Direct
0.120 0.120 0.333 Ho
0.229 0.229 0.823 Ho
0.771 0.771 0.177 Ho
0.880 0.880 0.667 Ho
0.006 0.006 0.091 Ga
0.065 0.065 0.796 Ga
0.117 0.117 0.552 Ga
0.201 0.201 0.003 Ga
0.248 0.248 0.294 Ga
0.297 0.297 0.498 Ga
0.373 0.373 0.805 Ga
0.385 0.385 0.297 Ga
0.398 0.398 0.002 Ga
0.459 0.459 0.631 Ga
0.500 0.500 0.500 Ga
0.541 0.541 0.369 Ga
0.602 0.602 0.998 Ga
0.615 0.615 0.703 Ga
0.627 0.627 0.195 Ga
0.703 0.703 0.502 Ga
0.752 0.752 0.706 Ga
0.799 0.799 0.997 Ga
0.883 0.883 0.448 Ga
0.935 0.935 0.204 Ga
0.994 0.994 0.909 Ga
0.024 0.024 0.607 Ni
0.133 0.133 0.104 Ni
0.249 0.249 0.614 Ni
0.347 0.347 0.112 Ni
0.498 0.498 0.814 Ni
0.502 0.502 0.186 Ni
0.653 0.653 0.888 Ni
0.751 0.751 0.386 Ni
0.867 0.867 0.896 Ni
0.976 0.976 0.393 Ni
```

## Properties
Space group: No. 12
VASP energy: -4.45 eV/atom
Total magnetic moment: 0.00 μB/f.u.

***

# Ho3Ga5Ni

An optimized crystal structure of Ho3Ga5Ni (PBE-GGA, the Open Quantum Materials Database).

Geometry as POSCAR:
```
Ho3Ga5Ni
1.0
6.845 0.000 0.000
-3.422 5.928 0.000
0.000 0.000 4.201
Ho Ga Ni
3 5 1
Direct
0.000 0.592 0.000 Ho
0.408 0.408 0.000 Ho
0.592 0.000 0.000 Ho
0.000 0.235 0.500 Ga
0.235 0.000 0.500 Ga
0.333 0.667 0.500 Ga
0.667 0.333 0.500 Ga
0.765 0.765 0.500 Ga
0.000 0.000 0.000 Ni
```

## Properties
Space group: No. 189
VASP energy: -4.50 eV/atom
Total magnetic moment: 0.00 μB/f.u.

***

# Ho4Ga12Ni

An optimized crystal structure of Ho4Ga12Ni (PBE-GGA, the Open Quantum Materials Database).

Geometry as POSCAR:
```
Ho4Ga12Ni
1.0
-4.274 4.274 4.274
4.274 -4.274 4.274
4.274 4.274 -4.274
Ho Ga Ni
4 12 1
Direct
0.000 0.000 0.500 Ho
0.000 0.500 0.000 Ho
0.500 0.000 0.000 Ho
0.500 0.500 0.500 Ho
0.000 0.287 0.287 Ga
0.000 0.713 0.713 Ga
0.250 0.500 0.750 Ga
0.250 0.750 0.500 Ga
0.287 0.000 0.287 Ga
0.287 0.287 0.000 Ga
0.500 0.250 0.750 Ga
0.500 0.750 0.250 Ga
0.713 0.000 0.713 Ga
0.713 0.713 0.000 Ga
0.750 0.250 0.500 Ga
0.750 0.500 0.250 Ga
0.000 0.000 0.000 Ni
```

## Properties
Space group: No. 229
VASP energy: -4.10 eV/atom
Total magnetic moment: 0.00 μB/f.u.

***

# Ho2GaNi2

An optimized crystal structure of Ho2GaNi2 (PBE-GGA, the Open Quantum Materials Database).

Geometry as POSCAR:
```
Ho2GaNi2
1.0
-2.087 2.678 4.112
2.087 -2.678 4.112
2.087 2.678 -4.112
Ho Ga Ni
2 1 2
Direct
0.202 0.202 0.000 Ho
0.798 0.798 0.000 Ho
0.500 0.000 0.500 Ga
0.231 0.500 0.731 Ni
0.769 0.500 0.269 Ni
```

## Properties
Space group: No. 71
VASP energy: -5.26 eV/atom
Total magnetic moment: 0.01 μB/f.u.